Record 1
A plane-wave DFT calculation with GGA-PBE was carried out for an optimized crystal structure of NaCa3S.

energy relative to the lowest polymorph listed for this composition = 0 meV per atom
formation energy (no corrections) = -0.697 eV/atom
final energy = -2.9874 eV/atom
crystal system = cubic

Cell lengths 5.5959, 5.5959, 5.5959 Å; angles 90.00, 90.00, 90.00 degrees
Positions (direct):
Na (0.0000, 0.0000, 0.0000)
Ca (0.0000, 0.5000, 0.5000)
Ca (0.5000, 0.0000, 0.5000)
Ca (0.5000, 0.5000, 0.0000)
S (0.5000, 0.5000, 0.5000)

=====

Record 2
A plane-wave DFT calculation with GGA-PBE was carried out for an optimized crystal structure of Na2CaS2.

energy relative to the lowest polymorph listed for this composition = 29 meV per atom
formation energy (no corrections) = -1.150 eV/atom
final energy = -3.7287 eV/atom
crystal system = tetragonal

Cell lengths 7.5373, 7.5373, 7.5373 Å; angles 149.58, 149.58, 43.56 degrees
Positions (direct):
Na (0.2500, 0.7500, 0.5000)
Na (0.7500, 0.2500, 0.5000)
Ca (0.0000, 0.0000, 0.0000)
S (0.3840, 0.3840, 0.0000)
S (0.6160, 0.6160, 0.0000)

=====

Record 3
A plane-wave DFT calculation with GGA-PBE was carried out for an optimized crystal structure of NaCaS2.

formation energy (no corrections) = -1.166 eV/atom
final energy = -4.0599 eV/atom
crystal system = tetragonal

Cell lengths 4.7506, 4.7506, 3.6318 Å; angles 90.00, 90.00, 90.00 degrees
Positions (direct):
Na (0.0000, 0.0000, 0.0000)
Ca (0.5000, 0.5000, 0.0000)
S (0.0000, 0.5000, 0.5000)
S (0.5000, 0.0000, 0.5000)